(1)
## La2NiPt (GGA-PBE)

Data for a geometry-optimized La2NiPt structure.

Calculated values
**VASP energy**: -24.53 eV per formula unit

abc: 4.482 5.820 5.820
angles: 39.55 90.00 90.00
Fractional positions:
La  0.000  0.135  0.135
Ni  0.500  0.585  0.585
Pt  0.000  0.417  0.417
La  0.500  0.863  0.863

(2)
## Na4GaPbAu2 (GGA-PBE)

Data for a geometry-optimized Na4GaPbAu2 structure.

Calculated values
**VASP energy**: -20.29 eV per formula unit

abc: 4.918 4.918 7.259
angles: 90.00 90.00 90.00
Fractional positions:
Na  0.500  0.000  0.269
Ga  0.000  0.000  0.500
Pb  0.500  0.500  0.000
Na  0.500  0.500  0.500
Au  0.500  0.000  0.726
Na  0.000  0.000  0.000
Na  0.000  0.500  0.731
Au  0.000  0.500  0.274

(3)
## NdTl (GGA-PBE)

Data for a geometry-optimized NdTl structure.

Calculated values
**VASP energy**: -7.36 eV per formula unit

abc: 4.531 4.531 4.531
angles: 60.00 60.00 60.00
Fractional positions:
Tl  0.500  0.500  0.500
Nd  0.000  0.000  0.000

(4)
## Y2Pb3W4N3 (GGA-PBE)

Data for a geometry-optimized Y2Pb3W4N3 structure.

Calculated values
**VASP energy**: -101.46 eV per formula unit

abc: 5.924 5.924 14.220
angles: 101.25 101.25 59.94
Fractional positions:
W  0.863  0.691  0.064
Y  0.529  0.359  0.096
N  0.833  0.334  0.000
W  0.309  0.137  0.436
W  0.137  0.309  0.936
Pb  0.958  0.042  0.250
Pb  0.424  0.200  0.754
W  0.172  0.031  0.066
Y  0.641  0.471  0.404
N  0.167  0.666  0.000
Pb  0.200  0.424  0.254
Pb  0.042  0.958  0.750
N  0.500  0.000  0.000
N  0.334  0.833  0.500
W  0.691  0.863  0.564
N  0.000  0.500  0.500
W  0.969  0.828  0.434
N  0.666  0.167  0.500
Y  0.471  0.641  0.904
W  0.828  0.969  0.934
Pb  0.576  0.800  0.246
W  0.031  0.172  0.566
Pb  0.800  0.576  0.746
Y  0.359  0.529  0.596

> What is the VASP energy in the first record?

-24.53 eV per formula unit

Please write out number 2 again, unchanged.
## Na4GaPbAu2 (GGA-PBE)

Data for a geometry-optimized Na4GaPbAu2 structure.

Calculated values
**VASP energy**: -20.29 eV per formula unit

abc: 4.918 4.918 7.259
angles: 90.00 90.00 90.00
Fractional positions:
Na  0.500  0.000  0.269
Ga  0.000  0.000  0.500
Pb  0.500  0.500  0.000
Na  0.500  0.500  0.500
Au  0.500  0.000  0.726
Na  0.000  0.000  0.000
Na  0.000  0.500  0.731
Au  0.000  0.500  0.274